The following is a PBE calculation of a geometry-optimized TbSm6Ho2Er structure, from Alexandria via LeMat-Bulk.

Results
The value obtained for the formation energy from the elements is 0.118 eV/atom. The calculation puts the magnetic moment at 0.000 μB/f.u. The raw total energy comes out at -90.96 eV/cell. As for the crystal system: monoclinic. The space group is C2/c.

Unit cell a=8.873 b=8.873 c=9.585 alpha=93.79 beta=93.79 gamma=117.79
Element x y z (fractional)
Tb (0.026, 0.974, 0.750)
Tb (0.974, 0.026, 0.250)
Sm (0.013, 0.566, 0.686)
Sm (0.120, 0.759, 0.055)
Sm (0.241, 0.880, 0.445)
Sm (0.291, 0.508, 0.881)
Sm (0.434, 0.987, 0.814)
Sm (0.492, 0.709, 0.619)
Sm (0.508, 0.291, 0.381)
Sm (0.566, 0.013, 0.186)
Sm (0.709, 0.492, 0.119)
Sm (0.759, 0.120, 0.555)
Sm (0.880, 0.241, 0.945)
Sm (0.987, 0.434, 0.314)
Ho (0.200, 0.301, 0.545)
Ho (0.301, 0.200, 0.045)
Ho (0.699, 0.800, 0.955)
Ho (0.800, 0.699, 0.455)
Er (0.410, 0.590, 0.250)
Er (0.590, 0.410, 0.750)